Entry 1:
Here is a relaxed structure of MnTeCl3 from Alexandria. Energies are from PBE-GGA.

extended XYZ file:
```
5
Lattice="5.485 0.000 0.000 0.000 5.485 0.000 0.000 0.000 5.485" Properties=species:S:1:pos:R:3 pbc="T T T"
Te 0.000 0.000 0.000
Cl 0.000 2.742 0.000
Cl 0.000 0.000 2.742
Cl 2.742 0.000 0.000
Mn 2.742 2.742 2.742
```

Results
The magnetic moment is 5.8 μB per formula unit. As for the space group: Pm-3m, No. 221. As for the formation energy (no corrections): 0.168 eV/atom.

=====

Entry 2:
Here is a relaxed structure of MnTe2Cl from Alexandria. Energies are from PBE-GGA.

extended XYZ file:
```
4
Lattice="3.200 -0.027 0.000 -0.727 3.117 0.000 0.000 0.000 11.403" Properties=species:S:1:pos:R:3 pbc="T T T"
Cl 0.000 0.000 6.878
Mn 1.237 1.545 8.367
Te 1.237 1.545 2.812
Te 0.000 0.000 10.452
```

Results
The magnetic moment is 4.5 μB per formula unit. As for the space group: Cmm2, No. 35. As for the formation energy (no corrections): -0.151 eV/atom.

=====

Entry 3:
Here is a relaxed structure of Mn3TeCl from Alexandria. Energies are from PBE-GGA.

extended XYZ file:
```
5
Lattice="5.071 0.000 0.000 0.000 5.071 0.000 0.000 0.000 5.071" Properties=species:S:1:pos:R:3 pbc="T T T"
Te 0.000 0.000 0.000
Mn 0.000 2.536 0.000
Mn 2.536 0.000 0.000
Mn 0.000 0.000 2.536
Cl 2.536 2.536 2.536
```

Results
The magnetic moment is 12.0 μB per formula unit. As for the space group: Pm-3m, No. 221. As for the formation energy (no corrections): 0.783 eV/atom.

=====

Entry 4:
Here is a relaxed structure of MnTe2Cl from Alexandria. Energies are from PBE-GGA.

extended XYZ file:
```
4
Lattice="3.157 0.000 0.000 0.000 3.157 0.000 0.000 0.000 11.644" Properties=species:S:1:pos:R:3 pbc="T T T"
Te 1.578 1.578 2.916
Te 0.000 0.000 10.626
Cl 0.000 0.000 7.079
Mn 1.578 1.578 8.489
```

Results
The magnetic moment is 4.5 μB per formula unit. As for the space group: P4mm, No. 99. As for the formation energy (no corrections): -0.139 eV/atom.

=====

Entry 5:
Here is a relaxed structure of MnTe2Cl from Alexandria. Energies are from PBE-GGA.

extended XYZ file:
```
4
Lattice="-2.017 -1.020 -5.597 -3.815 -0.917 1.542 -1.111 4.053 -0.339" Properties=species:S:1:pos:R:3 pbc="T T T"
Te 0.000 0.000 0.000
Te -2.463 1.568 0.602
Cl -2.916 -0.968 -2.028
Mn -1.564 1.516 -2.968
```

Results
The magnetic moment is 5.0 μB per formula unit. As for the space group: P4/mmm, No. 123. As for the formation energy (no corrections): 0.147 eV/atom.

=====

Entry 6:
Here is a relaxed structure of MnTe2Cl from Alexandria. Energies are from PBE-GGA.

extended XYZ file:
```
4
Lattice="6.614 1.030 0.000 3.145 5.909 0.000 -4.880 -3.469 2.994" Properties=species:S:1:pos:R:3 pbc="T T T"
Te 0.000 0.000 0.000
Te 4.880 3.469 0.000
Mn 3.307 0.515 1.497
Cl 1.572 2.955 1.497
```

Results
The magnetic moment is 5.0 μB per formula unit. As for the space group: I4/mmm, No. 139. As for the formation energy (no corrections): 0.154 eV/atom.